DFT (GGA+U) results for an optimized crystal structure of CdFeNO2.

extended XYZ file:
```
5
Lattice="4.202 0.000 0.000 0.000 4.202 0.000 0.000 0.000 4.116" Properties=species:S:1:pos:R:3 pbc="T T T"
Cd 0.000 0.000 0.000
Fe 2.101 2.101 2.058
N 0.000 0.000 2.058
O 0.000 2.101 0.000
O 2.101 0.000 0.000
```

Properties
electronic total energy: -4.0725 eV per atom
mass density: 4.90 g cm⁻³